Nd4DyZn5, relaxed, DFT PBE-GGA; symmetry = P4/mmm; D(E_F) = 1.2003 states/eV per atom; ΔH_f (0 K) = -3.11 eV/f.u.; size of the total moment = 0.00 μB/cell
1.0
3.6568 0.0000 0.0000
0.0000 3.6568 0.0000
0.0000 0.0000 18.3737
Nd Dy Zn
4 1 5
Cartesian
0.0000 0.0000 3.5985
0.0000 0.0000 7.3225
0.0000 0.0000 11.0511
0.0000 0.0000 14.7751
0.0000 0.0000 0.0000
1.8284 1.8284 1.6837
1.8284 1.8284 5.4797
1.8284 1.8284 9.1868
1.8284 1.8284 12.8940
1.8284 1.8284 16.6900